The following is a DFT calculation (PBE) of an optimized crystal structure of ZnSn2Bi.

Results
Calculated volume, A^3/atom: 27.91
Total moment, Bohr magnetons per cell: 0.00
Calculated total energy, eV/atom: -3.199

Structure (CIF):
```
data_ZnSn2Bi
_chemical_formula_sum 'Zn3 Sn6 Bi3'
_symmetry_space_group_name_H-M 'R 3 m'
_symmetry_Int_Tables_number 160
_symmetry_space_group_name_Hall 'R 3 -2"'
_cell_length_a 4.4776
_cell_length_b 4.4776
_cell_length_c 19.2895
_cell_angle_alpha 90.00
_cell_angle_beta 90.00
_cell_angle_gamma 120.00
loop_
_atom_site_label
_atom_site_fract_x
_atom_site_fract_y
_atom_site_fract_z
Zn1 0.0000 0.0000 0.0000
Sn1 0.0000 0.0000 0.3947
Sn2 0.0000 0.0000 0.5969
Bi1 0.0000 0.0000 0.8308
```

The following is a DFT calculation (PBE) of an optimized crystal structure of TbErCoPd.

Results
Calculated volume, A^3/atom: 20.01
Total moment, Bohr magnetons per cell: 0.52
Calculated total energy, eV/atom: -5.873

Structure (CIF):
```
data_TbErCoPd
_chemical_formula_sum 'Tb4 Er4 Co4 Pd4'
_symmetry_space_group_name_H-M 'F -4 3 m'
_symmetry_Int_Tables_number 216
_symmetry_space_group_name_Hall 'F -4 2 3'
_cell_length_a 6.841
_cell_length_b 6.841
_cell_length_c 6.841
_cell_angle_alpha 90.00
_cell_angle_beta 90.00
_cell_angle_gamma 90.00
loop_
_atom_site_label
_atom_site_fract_x
_atom_site_fract_y
_atom_site_fract_z
Tb1 0.000 0.000 0.000
Er1 0.000 0.000 0.500
Co1 0.250 0.250 0.250
Pd1 0.250 0.250 0.750
```

The following is a DFT calculation (PBE) of an optimized crystal structure of ScPbIN2.

Results
Calculated volume, A^3/atom: 21.88
Total moment, Bohr magnetons per cell: 0.00
Calculated total energy, eV/atom: -5.158

Structure (CIF):
```
data_ScPbIN2
_chemical_formula_sum 'Sc1 Pb1 I1 N2'
_symmetry_space_group_name_H-M 'P 4/m m m'
_symmetry_Int_Tables_number 123
_symmetry_space_group_name_Hall '-P 4 2'
_cell_length_a 4.355
_cell_length_b 4.355
_cell_length_c 5.767
_cell_angle_alpha 90.00
_cell_angle_beta 90.00
_cell_angle_gamma 90.00
loop_
_atom_site_label
_atom_site_fract_x
_atom_site_fract_y
_atom_site_fract_z
Sc1 0.000 0.000 0.000
Pb1 0.500 0.500 0.500
I1 0.000 0.000 0.500
N1 0.000 0.500 0.000
```

The following is a DFT calculation (PBE) of an optimized crystal structure of Ba2AlW.

Results
Calculated volume, A^3/atom: 31.91
Total moment, Bohr magnetons per cell: 2.46
Calculated total energy, eV/atom: -4.402

Structure (CIF):
```
data_Ba2AlW
_chemical_formula_sum 'Ba4 Al2 W2'
_symmetry_space_group_name_H-M 'I m m 2'
_symmetry_Int_Tables_number 44
_symmetry_space_group_name_Hall 'I 2 -2'
_cell_length_a 4.059
_cell_length_b 5.584
_cell_length_c 11.265
_cell_angle_alpha 90.00
_cell_angle_beta 90.00
_cell_angle_gamma 90.00
loop_
_atom_site_label
_atom_site_fract_x
_atom_site_fract_y
_atom_site_fract_z
Ba1 0.000 0.000 0.000
Ba2 0.000 0.500 0.201
Al1 0.000 0.000 0.418
W1 0.000 0.500 0.778
```

The following is a DFT calculation (PBE) of an optimized crystal structure of FeCoNi2.

Results
Calculated volume, A^3/atom: 11.22
Total moment, Bohr magnetons per cell: 22.35
Calculated total energy, eV/atom: -6.746

Structure (CIF):
```
data_FeCoNi2
_chemical_formula_sum 'Fe4 Co4 Ni8'
_symmetry_space_group_name_H-M 'F -4 3 m'
_symmetry_Int_Tables_number 216
_symmetry_space_group_name_Hall 'F -4 2 3'
_cell_length_a 5.641
_cell_length_b 5.641
_cell_length_c 5.641
_cell_angle_alpha 90.00
_cell_angle_beta 90.00
_cell_angle_gamma 90.00
loop_
_atom_site_label
_atom_site_fract_x
_atom_site_fract_y
_atom_site_fract_z
Fe1 0.000 0.000 0.000
Co1 0.250 0.250 0.250
Ni1 0.000 0.000 0.500
Ni2 0.250 0.250 0.750
```

The following is a DFT calculation (PBE) of an optimized crystal structure of YFeMo.

Results
Calculated volume, A^3/atom: 18.24
Total moment, Bohr magnetons per cell: 2.78
Calculated total energy, eV/atom: -8.354

Structure (CIF):
```
data_YFeMo
_chemical_formula_sum 'Y2 Fe2 Mo2'
_symmetry_space_group_name_H-M 'I 4 m m'
_symmetry_Int_Tables_number 107
_symmetry_space_group_name_Hall 'I 4 -2'
_cell_length_a 3.141
_cell_length_b 3.141
_cell_length_c 11.092
_cell_angle_alpha 90.00
_cell_angle_beta 90.00
_cell_angle_gamma 90.00
loop_
_atom_site_label
_atom_site_fract_x
_atom_site_fract_y
_atom_site_fract_z
Y1 0.000 0.000 0.000
Fe1 0.000 0.000 0.693
Mo1 0.000 0.000 0.298
```

The following is a DFT calculation (PBE) of an optimized crystal structure of HoTh2ReC4.

Results
Calculated volume, A^3/atom: 17.42
Total moment, Bohr magnetons per cell: 0.00
Calculated total energy, eV/atom: -8.596

Structure (CIF):
```
data_HoTh2ReC4
_chemical_formula_sum 'Ho4 Th8 Re4 C16'
_symmetry_space_group_name_H-M 'C m c m'
_symmetry_Int_Tables_number 63
_symmetry_space_group_name_Hall '-C 2c 2'
_cell_length_a 3.594
_cell_length_b 12.096
_cell_length_c 12.823
_cell_angle_alpha 90.00
_cell_angle_beta 90.00
_cell_angle_gamma 90.00
loop_
_atom_site_label
_atom_site_fract_x
_atom_site_fract_y
_atom_site_fract_z
Ho1 0.000 0.106 0.250
Th1 0.000 0.366 0.038
Re1 0.000 0.163 0.750
C1 0.000 0.000 0.000
C2 0.000 0.269 0.638
C3 0.000 0.419 0.250
```

The following is a DFT calculation (PBE) of an optimized crystal structure of TbEuTl.

Results
Calculated volume, A^3/atom: 31.64
Total moment, Bohr magnetons per cell: 7.17
Calculated total energy, eV/atom: -5.923

Structure (CIF):
```
data_TbEuTl
_chemical_formula_sum 'Tb1 Eu1 Tl1'
_symmetry_space_group_name_H-M 'P 3 m 1'
_symmetry_Int_Tables_number 156
_symmetry_space_group_name_Hall 'P 3 -2"'
_cell_length_a 5.3953
_cell_length_b 5.3953
_cell_length_c 3.7652
_cell_angle_alpha 90.00
_cell_angle_beta 90.00
_cell_angle_gamma 120.00
loop_
_atom_site_label
_atom_site_fract_x
_atom_site_fract_y
_atom_site_fract_z
Tb1 0.0000 0.0000 0.0000
Eu1 0.6667 0.3333 0.4464
Tl1 0.3333 0.6667 0.8313
```

Question: What is the calculated total energy in the fifth record?
Answer: -6.746 eV/atom